! BeZnNi6 PBE relaxed; values from VASP
&SYSTEM
  ibrav = 0, nat = 8, ntyp = 3
/
ATOMIC_SPECIES
Be 9.01 Be.upf
Zn 65.41 Zn.upf
Ni 58.69 Ni.upf
ATOMIC_POSITIONS angstrom
Be -1.321 -1.200 2.999
Zn 0.000 0.000 0.000
Ni -2.282 0.634 -0.752
Ni -3.604 -0.566 2.247
Ni -1.696 0.807 1.720
Ni -2.943 -0.326 4.552
Ni -1.982 -1.440 0.695
Ni -3.229 -2.572 3.527
CELL_PARAMETERS angstrom
-1.996 2.880 0.272
-2.569 -1.613 -1.776
-2.642 -2.399 5.999
! total moment = 2.44 μB per formula unit
! space group = P4/mmm (123)
! ΔE_f = -0.134 eV/atom
! relative energy among the computed polymorphs = 0.0000 eV per atom

! Y5Al2Bi PBE relaxed; values from VASP
&SYSTEM
  ibrav = 0, nat = 16, ntyp = 3
/
ATOMIC_SPECIES
Y 88.91 Y.upf
Al 26.98 Al.upf
Bi 208.98 Bi.upf
ATOMIC_POSITIONS angstrom
Y 2.325 4.690 1.908
Y 4.202 7.044 -3.814
Y 0.000 0.000 0.000
Y 2.909 3.649 -3.534
Y 1.144 -0.338 5.442
Y 4.573 1.040 3.008
Y -1.103 3.312 4.342
Y 0.773 5.666 -1.380
Y 6.449 3.394 -2.714
Y 3.021 2.016 -0.280
Al 0.465 2.614 -1.767
Al 4.569 1.035 -2.770
Al 1.250 6.263 -4.298
Al 5.354 4.685 -5.301
Bi 4.128 5.178 -0.953
Bi 1.218 1.528 2.581
CELL_PARAMETERS angstrom
7.487 0.000 -3.534
-1.668 7.298 -3.534
-0.472 -0.593 8.696
! total moment = 0.00 μB per formula unit
! space group = I4/mcm (140)
! ΔE_f = -0.481 eV/atom

! MgMo2Pb PBE relaxed; values from VASP
&SYSTEM
  ibrav = 0, nat = 4, ntyp = 3
/
ATOMIC_SPECIES
Pb 207.20 Pb.upf
Mo 95.94 Mo.upf
Mg 24.30 Mg.upf
ATOMIC_POSITIONS angstrom
Pb -5.378 -2.021 -0.033
Mo -2.689 -1.011 -0.017
Mo -8.068 -3.032 -0.050
Mg 0.000 0.000 0.000
CELL_PARAMETERS angstrom
-2.803 -3.456 1.487
-4.448 0.926 1.171
-3.507 -1.513 -2.725
! total moment = 0.00 μB per formula unit
! space group = Fm-3m (225)
! ΔE_f = 0.806 eV/atom
! relative energy among the computed polymorphs = 0.5210 eV per atom

! Pr6Pt2AuBr3 PBE relaxed; values from VASP
&SYSTEM
  ibrav = 0, nat = 12, ntyp = 4
/
ATOMIC_SPECIES
Pr 140.91 Pr.upf
Pt 195.08 Pt.upf
Au 196.97 Au.upf
Br 79.90 Br.upf
ATOMIC_POSITIONS angstrom
Pr -4.092 4.448 4.448
Pr -3.641 -0.674 3.526
Pr 0.517 -0.326 2.950
Pr -1.190 2.318 7.037
Pr 0.065 4.797 3.872
Pr -2.386 1.804 0.360
Pt -1.402 -2.492 3.192
Pt -4.208 -0.434 0.689
Au 0.000 0.000 0.000
Br 1.023 -0.001 6.206
Br -4.598 4.123 1.192
Br -1.788 2.061 3.699
CELL_PARAMETERS angstrom
-7.011 1.623 -1.812
1.401 -4.549 5.693
2.035 7.048 3.516
! total moment = 0.00 μB per formula unit
! space group = C2/m (12)
! uncorrected formation energy = -1148 meV per atom

! Be2RhBr PBE relaxed; values from VASP
&SYSTEM
  ibrav = 0, nat = 4, ntyp = 3
/
ATOMIC_SPECIES
Be 9.01 Be.upf
Rh 102.91 Rh.upf
Br 79.90 Br.upf
ATOMIC_POSITIONS angstrom
Be 1.491 1.491 1.491
Be 4.473 4.473 4.473
Rh 2.982 2.982 2.982
Br 0.000 0.000 0.000
CELL_PARAMETERS angstrom
0.000 2.982 2.982
2.982 0.000 2.982
2.982 2.982 0.000
! total moment = 0.00 μB per formula unit
! space group = Fm-3m (225)
! uncorrected formation energy = 653 meV per atom
! relative energy among the computed polymorphs = 0.8373 eV per atom

! PrY5Ho PBE relaxed; values from VASP
&SYSTEM
  ibrav = 0, nat = 7, ntyp = 3
/
ATOMIC_SPECIES
Pr 140.91 Pr.upf
Y 88.91 Y.upf
Ho 164.93 Ho.upf
ATOMIC_POSITIONS angstrom
Pr 0.000 0.000 0.000
Y -7.729 -2.265 -3.465
Y -5.097 1.066 -7.054
Y -5.668 1.193 -3.050
Y -7.158 -2.392 -7.470
Y -3.959 -2.110 -4.862
Ho -6.413 -0.599 -5.260
CELL_PARAMETERS angstrom
-4.908 3.021 -0.795
-1.907 0.487 -7.660
-6.012 -4.707 -2.064
! total moment = 0.00 μB per formula unit
! space group = Immm (71)
! ΔE_f = 1.091 eV/atom
! relative energy among the computed polymorphs = 0.8924 eV per atom

! Pr6Dy2Er3Tm PBE relaxed; values from VASP
&SYSTEM
  ibrav = 0, nat = 12, ntyp = 4
/
ATOMIC_SPECIES
Pr 140.91 Pr.upf
Dy 162.50 Dy.upf
Er 167.26 Er.upf
Tm 168.93 Tm.upf
ATOMIC_POSITIONS angstrom
Pr 3.135 1.806 8.730
Pr 2.095 3.628 2.925
Pr -1.047 1.810 2.919
Pr -0.002 3.619 8.730
Pr -0.007 -0.012 8.725
Pr 2.091 -0.002 2.919
Dy 0.000 3.629 0.005
Dy 3.144 1.814 0.005
Er -2.098 3.623 5.825
Er 4.186 -0.006 5.825
Er 1.044 1.808 5.825
Tm 0.000 0.000 0.000
CELL_PARAMETERS angstrom
6.285 0.000 0.005
-3.141 5.443 0.005
-1.055 -1.827 11.639
! total moment = 0.00 μB per formula unit
! space group = C2/m (12)
! ΔE_f = 0.013 eV/atom

! GaGePt4 PBE relaxed; values from VASP
&SYSTEM
  ibrav = 0, nat = 12, ntyp = 3
/
ATOMIC_SPECIES
Ga 69.72 Ga.upf
Ge 72.64 Ge.upf
Pt 195.08 Pt.upf
ATOMIC_POSITIONS angstrom
Ga 2.892 0.000 2.888
Ga 0.282 3.608 2.622
Ge 0.000 0.000 0.000
Ge 2.610 3.608 0.266
Pt 4.607 4.830 1.109
Pt 3.787 1.222 4.934
Pt 3.394 2.413 2.305
Pt 5.001 6.022 3.737
Pt 1.177 2.386 4.667
Pt 1.997 5.995 0.842
Pt 2.390 4.803 3.471
Pt 0.783 1.195 2.039
CELL_PARAMETERS angstrom
5.221 0.000 0.533
0.000 7.216 0.000
0.563 0.000 5.243
! total moment = 0.00 μB per formula unit
! space group = P2_1/c (14)
! ΔE_f = -0.358 eV/atom